(1)
Compound: Pu4PaPt5
Source: Alexandria
Functional: GGA-PBE
Structure: relaxed

Properties
For the energy, the calculation gives -104.7 eV for the cell shown. The formation energy comes out at -0.7674 eV/atom. The calculation puts the energy relative to the lowest polymorph listed for this composition at 0 meV per atom. As for the space-group type: C2, No. 5.

Lattice parameters (Å, degrees): 5.8125 7.7917 8.3858 84.30 65.81 41.77
With the nearest neighbours (Å) after each atom.
Sites, in units of the cell vectors:
Pu1 0.3988 0.3563 0.7898  7 Pt 2.91-3.20
Pu2 0.8970 0.7491 0.5696  7 Pt 2.93-3.16
Pu3 0.6811 0.5662 0.2100  7 Pt 2.91-3.20
Pu4 0.1763 0.1793 0.4304  7 Pt 2.93-3.16
Pt1 0.0925 0.6663 0.1656  5 Pu 2.91-3.10, 3 Pt 2.91-3.09, 2 Pa 2.95-3.00
Pt2 0.7426 0.5009 0.8344  5 Pu 2.91-3.10, 3 Pt 2.92-3.09, 2 Pa 2.95-3.00
Pt3 0.5389 0.9623 0.9999  2 Pa 2.97, 2 Pt 3.09, 6 Pu 3.09-3.16
Pt4 0.7288 0.1585 0.3764  1 Pa 2.84, 1 Pt 2.91, 5 Pu 2.93-3.06
Pt5 0.3322 0.7821 0.6238  1 Pa 2.84, 1 Pt 2.92, 5 Pu 2.93-3.06
Pa1 0.9221 0.0789 0.0001  8 Pt 2.84-3.00

***

(2)
Compound: PuPaRePt
Source: Alexandria
Functional: GGA-PBE
Structure: relaxed

Properties
For the energy, the calculation gives -43.3 eV for the cell shown. The formation energy comes out at -0.2541 eV/atom. As for the space-group type: F-43m, No. 216.

Lattice parameters (Å, degrees): 4.8985 4.8985 4.8985 60.00 60.00 60.00
With the nearest neighbours (Å) after each atom.
Sites, in units of the cell vectors:
Pu1 0.5000 0.5000 0.5000  4 Pt 3.00, 4 Re 3.00
Pt1 0.7500 0.7500 0.7500  4 Pu 3.00, 4 Pa 3.00
Re1 0.2500 0.2500 0.2500  4 Pu 3.00, 4 Pa 3.00
Pa1 0.0000 0.0000 0.0000  4 Re 3.00, 4 Pt 3.00

***

(3)
Compound: Pu3Pa3RePt2
Source: Alexandria
Functional: GGA-PBE
Structure: relaxed

Properties
For the energy, the calculation gives -98.9 eV for the cell shown. The formation energy comes out at -0.3247 eV/atom. As for the space-group type: P-62m, No. 189.

Lattice parameters (Å, degrees): 4.0728 7.7578 7.7578 120.00 90.00 90.00
With the nearest neighbours (Å) after each atom.
Sites, in units of the cell vectors:
Pa1 0.5000 0.7368 0.0000  2 Re 2.88, 2 Pt 2.90
Pa2 0.5000 0.0000 0.7368  2 Re 2.88, 2 Pt 2.90
Pa3 0.5000 0.2632 0.2632  2 Re 2.88, 2 Pt 2.90
Re1 0.0000 0.0000 0.0000  6 Pa 2.88, 3 Pu 3.14
Pt1 0.5000 0.3333 0.6667  3 Pa 2.90, 6 Pu 3.12
Pt2 0.5000 0.6667 0.3333  3 Pa 2.90, 6 Pu 3.12
Pu1 0.0000 0.4051 0.0000  4 Pt 3.12, 1 Re 3.14, 6 Pa 3.28-3.43
Pu2 0.0000 0.0000 0.4051  4 Pt 3.12, 1 Re 3.14, 6 Pa 3.28-3.43
Pu3 0.0000 0.5949 0.5949  4 Pt 3.12, 1 Re 3.14, 6 Pa 3.28-3.43

***

(4)
Compound: PuPaPtRh
Source: Alexandria
Functional: GGA-PBE
Structure: relaxed

Properties
For the energy, the calculation gives -40.3 eV for the cell shown. The formation energy comes out at -0.7735 eV/atom. As for the space-group type: F-43m, No. 216.

Lattice parameters (Å, degrees): 4.7272 4.7272 4.7272 60.00 60.00 60.00
With the nearest neighbours (Å) after each atom.
Sites, in units of the cell vectors:
Pu1 0.7500 0.7500 0.7500  4 Pa 2.89, 4 Rh 2.89
Rh1 0.0000 0.0000 0.0000  4 Pu 2.89, 4 Pt 2.89
Pa1 0.5000 0.5000 0.5000  4 Pu 2.89, 4 Pt 2.89
Pt1 0.2500 0.2500 0.2500  4 Pa 2.89, 4 Rh 2.89

***

(5)
Compound: PuPaRuPt
Source: Alexandria
Functional: GGA-PBE
Structure: relaxed

Properties
For the energy, the calculation gives -41.6 eV for the cell shown. The formation energy comes out at -0.6231 eV/atom. The calculation puts the energy relative to the lowest polymorph listed for this composition at 0 meV per atom. As for the space-group type: Amm2, No. 38.

Lattice parameters (Å, degrees): 3.8325 4.0176 5.9173 90.00 108.90 90.00
With the nearest neighbours (Å) after each atom.
Sites, in units of the cell vectors:
Ru1 0.6036 0.5000 0.2071  4 Pa 2.80, 1 Pu 2.81, 2 Pt 2.96
Pa1 0.1330 0.0000 0.2660  4 Ru 2.80, 1 Pt 3.09
Pu1 0.8544 0.5000 0.7089  1 Ru 2.81, 4 Pt 2.84
Pt1 0.4090 0.0000 0.8180  4 Pu 2.84, 2 Ru 2.96, 3 Pa 3.09-3.16

***

(6)
Compound: PuPaRuPt
Source: Alexandria
Functional: GGA-PBE
Structure: relaxed

Properties
For the energy, the calculation gives -41.1 eV for the cell shown. The formation energy comes out at -0.4870 eV/atom. The calculation puts the energy relative to the lowest polymorph listed for this composition at 136 meV per atom. As for the space-group type: F-43m, No. 216.

Lattice parameters (Å, degrees): 4.8907 4.8907 4.8907 60.00 60.00 60.00
With the nearest neighbours (Å) after each atom.
Sites, in units of the cell vectors:
Pu1 0.0000 0.0000 0.0000  4 Pt 2.99, 4 Ru 2.99
Pt1 0.7500 0.7500 0.7500  4 Pa 2.99, 4 Pu 2.99
Pa1 0.5000 0.5000 0.5000  4 Ru 2.99, 4 Pt 2.99
Ru1 0.2500 0.2500 0.2500  4 Pa 2.99, 4 Pu 2.99